Below is a geometry-optimized LiPmBi structure, with properties calculated at the PBE level.

Cell: 8.985 8.985 8.985 Å, 152.48 148.04 42.68°
Positions (direct):
1 Li 0.249 0.000 0.249
2 Li 0.751 0.000 0.751
3 Pm 0.342 0.342 0.000
4 Pm 0.658 0.658 0.000
5 Bi 0.152 0.152 0.000
6 Bi 0.848 0.848 0.000

Values from the calculation:
For the offset from the most stable computed form, the calculation gives 16.2 kJ per mole of atoms. The space group is Immm (71). As for the size of the total moment: 0.000 μB/atom. As for the total energy: -4.03 eV per atom.

Below is a geometry-optimized LiPmBi2 structure, with properties calculated at the PBE level.

Cell: 5.458 5.458 5.458 Å, 60.00 60.00 60.00°
Positions (direct):
1 Li 0.000 0.000 0.000
2 Pm 0.500 0.500 0.500
3 Bi 0.250 0.250 0.250
4 Bi 0.750 0.750 0.750

Values from the calculation:
For the offset from the most stable computed form, the calculation gives 19.4 kJ per mole of atoms. The space group is Fm-3m (225). As for the size of the total moment: 0.000 μB/atom. As for the total energy: -4.08 eV per atom.

Below is a geometry-optimized LiPmBi2 structure, with properties calculated at the PBE level.

Cell: 5.068 5.068 4.360 Å, 90.00 90.00 90.00°
Positions (direct):
1 Li 0.000 0.000 0.000
2 Pm 0.500 0.500 0.000
3 Bi 0.000 0.500 0.500
4 Bi 0.500 0.000 0.500

Values from the calculation:
For the offset from the most stable computed form, the calculation gives 9.7 kJ per mole of atoms. The space group is P4/mmm (123). As for the size of the total moment: 0.000 μB/atom. As for the total energy: -4.18 eV per atom.

Below is a geometry-optimized LiPm2Bi structure, with properties calculated at the PBE level.

Cell: 5.416 5.416 5.416 Å, 60.00 60.00 60.00°
Positions (direct):
1 Li 0.000 0.000 0.000
2 Pm 0.250 0.250 0.250
3 Pm 0.750 0.750 0.750
4 Bi 0.500 0.500 0.500

Values from the calculation:
For the offset from the most stable computed form, the calculation gives 5.4 kJ per mole of atoms. The space group is Fm-3m (225). As for the size of the total moment: 0.000 μB/atom. As for the total energy: -4.20 eV per atom.

Below is a geometry-optimized LiPm2Bi structure, with properties calculated at the PBE level.

Cell: 5.070 5.070 4.418 Å, 90.00 90.00 90.00°
Positions (direct):
1 Li 0.000 0.000 0.000
2 Pm 0.000 0.500 0.500
3 Pm 0.500 0.000 0.500
4 Bi 0.500 0.500 0.000

Values from the calculation:
For the offset from the most stable computed form, the calculation gives 0.3 kJ per mole of atoms. The space group is P4/mmm (123). As for the size of the total moment: 0.000 μB/atom. As for the total energy: -4.25 eV per atom.

Below is a geometry-optimized LiPmBi2 structure, with properties calculated at the PBE level.

Cell: 4.552 4.552 10.559 Å, 90.00 90.00 90.00°
Positions (direct):
1 Li 0.250 0.750 0.000
2 Li 0.750 0.250 0.000
3 Pm 0.250 0.250 0.258
4 Pm 0.750 0.750 0.742
5 Bi 0.250 0.250 0.834
6 Bi 0.250 0.750 0.500
7 Bi 0.750 0.250 0.500
8 Bi 0.750 0.750 0.166

Values from the calculation:
For the offset from the most stable computed form, the calculation gives 0.0 kJ per mole of atoms. The space group is P4/nmm (129). As for the size of the total moment: 0.000 μB/atom. As for the total energy: -4.28 eV per atom.

Below is a geometry-optimized Li4PmBi2 structure, with properties calculated at the PBE level.

Cell: 8.323 8.323 4.605 Å, 90.00 90.00 90.00°
Positions (direct):
1 Li 0.100 0.343 0.000
2 Li 0.157 0.600 0.500
3 Li 0.343 0.100 0.000
4 Li 0.400 0.843 0.500
5 Li 0.600 0.157 0.500
6 Li 0.657 0.900 0.000
7 Li 0.843 0.400 0.500
8 Li 0.900 0.657 0.000
9 Pm 0.000 0.000 0.500
10 Pm 0.500 0.500 0.000
11 Bi 0.211 0.789 0.000
12 Bi 0.289 0.289 0.500
13 Bi 0.711 0.711 0.500
14 Bi 0.789 0.211 0.000

Values from the calculation:
The space group is P4_2/mnm (136). As for the size of the total moment: 0.001 μB/atom. As for the total energy: -3.45 eV per atom.

Below is a geometry-optimized LiPmBi structure, with properties calculated at the PBE level.

Cell: 7.540 4.678 13.274 Å, 90.00 90.40 90.00°
Positions (direct):
1 Li 0.007 0.250 0.402
2 Li 0.185 0.250 0.050
3 Li 0.348 0.750 0.695
4 Li 0.652 0.250 0.305
5 Li 0.815 0.750 0.950
6 Li 0.993 0.750 0.598
7 Pm 0.003 0.250 0.816
8 Pm 0.340 0.750 0.428
9 Pm 0.497 0.750 0.131
10 Pm 0.503 0.250 0.869
11 Pm 0.660 0.250 0.572
12 Pm 0.997 0.750 0.184
13 Bi 0.217 0.250 0.598
14 Bi 0.224 0.750 0.938
15 Bi 0.282 0.250 0.257
16 Bi 0.718 0.750 0.743
17 Bi 0.776 0.250 0.062
18 Bi 0.783 0.750 0.402

Values from the calculation:
For the offset from the most stable computed form, the calculation gives 0.0 kJ per mole of atoms. The space group is P2_1/m (11). As for the size of the total moment: 0.026 μB/atom. As for the total energy: -4.19 eV per atom.

- size of the total moment of number 1 (LiPmBi)?
  0.000 μB/atom